1.
# YRe3O PBE-GGA optimized geometry
# Raw formation energy = 3.835 eV/atom
# Magnetic moment = 5.67 μB/cell
# N(E_F) = 8.75 states/eV per cell
# V = 118.1 Å³/cell
data_YRe3O
_cell_length_a 4.9064
_cell_length_b 4.9064
_cell_length_c 4.9064
_cell_angle_alpha 90.00
_cell_angle_beta 90.00
_cell_angle_gamma 90.00
_space_group_name_H-M_alt 'P 1'
_space_group_IT_number 1
loop_
_space_group_symop_operation_xyz
'x,y,z'
loop_
_atom_site_label
_atom_site_type_symbol
_atom_site_fract_x
_atom_site_fract_y
_atom_site_fract_z
_atom_site_occupancy
Y1 Y 0.0000 0.0000 0.0000 1
Re1 Re 0.0000 0.0000 0.5000 1
Re2 Re 0.0000 0.5000 0.0000 1
Re3 Re 0.5000 0.0000 0.0000 1
O1 O 0.5000 0.5000 0.5000 1

***

2.
# TaHg2Te PBE-GGA optimized geometry
# Raw formation energy = 0.401 eV/atom
# Magnetic moment = 0.00 μB/cell
# N(E_F) = 2.00 states/eV per cell
# V = 89.8 Å³/cell
data_TaHg2Te
_cell_length_a 3.0498
_cell_length_b 5.1632
_cell_length_c 5.7037
_cell_angle_alpha 90.00
_cell_angle_beta 90.90
_cell_angle_gamma 90.00
_space_group_name_H-M_alt 'P 1'
_space_group_IT_number 1
loop_
_space_group_symop_operation_xyz
'x,y,z'
loop_
_atom_site_label
_atom_site_type_symbol
_atom_site_fract_x
_atom_site_fract_y
_atom_site_fract_z
_atom_site_occupancy
Ta1 Ta 0.0000 0.0000 0.0000 1
Hg1 Hg 0.4834 0.0000 0.5081 1
Hg2 Hg 0.5076 0.5000 0.2346 1
Te1 Te 0.9868 0.5000 0.7663 1

***

3.
# MgZr4Zn5 PBE-GGA optimized geometry
# Magnetic moment = 0.00 μB/cell
# Energy of formation from the pure elements = -2.235 eV/f.u.
# N(E_F) = 5.40 states/eV per cell
# V = 185.2 Å³/cell
data_MgZr4Zn5
_cell_length_a 3.3223
_cell_length_b 3.3223
_cell_length_c 16.7782
_cell_angle_alpha 90.00
_cell_angle_beta 90.00
_cell_angle_gamma 90.00
_space_group_name_H-M_alt 'P 1'
_space_group_IT_number 1
loop_
_space_group_symop_operation_xyz
'x,y,z'
loop_
_atom_site_label
_atom_site_type_symbol
_atom_site_fract_x
_atom_site_fract_y
_atom_site_fract_z
_atom_site_occupancy
Mg1 Mg 0.0000 0.0000 0.0000 1
Zr1 Zr 0.0000 0.0000 0.1963 1
Zr2 Zr 0.0000 0.0000 0.3996 1
Zr3 Zr 0.0000 0.0000 0.6004 1
Zr4 Zr 0.0000 0.0000 0.8037 1
Zn1 Zn 0.5000 0.5000 0.0969 1
Zn2 Zn 0.5000 0.5000 0.2998 1
Zn3 Zn 0.5000 0.5000 0.5000 1
Zn4 Zn 0.5000 0.5000 0.7002 1
Zn5 Zn 0.5000 0.5000 0.9031 1

***

4.
# K4Ac3TmSe8 PBE-GGA optimized geometry
# Raw formation energy = -1.781 eV/atom
# Magnetic moment = 0.00 μB/cell
# N(E_F) = 0.00 states/eV per cell
# V = 537.4 Å³/cell
data_K4Ac3TmSe8
_cell_length_a 9.3002
_cell_length_b 9.3002
_cell_length_c 9.3002
_cell_angle_alpha 57.60
_cell_angle_beta 57.60
_cell_angle_gamma 57.60
_space_group_name_H-M_alt 'P 1'
_space_group_IT_number 1
loop_
_space_group_symop_operation_xyz
'x,y,z'
loop_
_atom_site_label
_atom_site_type_symbol
_atom_site_fract_x
_atom_site_fract_y
_atom_site_fract_z
_atom_site_occupancy
K1 K 0.0000 0.0000 0.0000 1
K2 K 0.0000 0.5000 0.5000 1
K3 K 0.5000 0.0000 0.5000 1
K4 K 0.5000 0.5000 0.0000 1
Ac1 Ac 0.0000 0.0000 0.5000 1
Ac2 Ac 0.0000 0.5000 0.0000 1
Ac3 Ac 0.5000 0.0000 0.0000 1
Tm1 Tm 0.5000 0.5000 0.5000 1
Se1 Se 0.2406 0.2406 0.2406 1
Se2 Se 0.2565 0.7270 0.7270 1
Se3 Se 0.2730 0.2730 0.7435 1
Se4 Se 0.2730 0.7435 0.2730 1
Se5 Se 0.7270 0.2565 0.7270 1
Se6 Se 0.7270 0.7270 0.2565 1
Se7 Se 0.7435 0.2730 0.2730 1
Se8 Se 0.7594 0.7594 0.7594 1

***

5.
# BaLiH3 PBE-GGA optimized geometry
# Magnetic moment = 0.00 μB/cell
# N(E_F) = 0.00 states/eV per cell
# Electronic total energy = -16.54 eV/cell
# V = 64.8 Å³/cell
data_BaLiH3
_cell_length_a 4.0172
_cell_length_b 4.0172
_cell_length_c 4.0172
_cell_angle_alpha 90.00
_cell_angle_beta 90.00
_cell_angle_gamma 90.00
_space_group_name_H-M_alt 'P 1'
_space_group_IT_number 1
loop_
_space_group_symop_operation_xyz
'x,y,z'
loop_
_atom_site_label
_atom_site_type_symbol
_atom_site_fract_x
_atom_site_fract_y
_atom_site_fract_z
_atom_site_occupancy
Ba1 Ba 0.0000 0.0000 0.0000 1
Li1 Li 0.5000 0.5000 0.5000 1
H1 H 0.0000 0.5000 0.5000 1
H2 H 0.5000 0.0000 0.5000 1
H3 H 0.5000 0.5000 0.0000 1

***

6.
# AlHg PBE-GGA optimized geometry
# Magnetic moment = 0.00 μB/cell
# Energy of formation from the pure elements = 0.607 eV/f.u.
# N(E_F) = 2.47 states/eV per cell
# V = 87.1 Å³/cell
data_AlHg
_cell_length_a 4.9762
_cell_length_b 4.9762
_cell_length_c 4.9762
_cell_angle_alpha 60.00
_cell_angle_beta 60.00
_cell_angle_gamma 60.00
_space_group_name_H-M_alt 'P 1'
_space_group_IT_number 1
loop_
_space_group_symop_operation_xyz
'x,y,z'
loop_
_atom_site_label
_atom_site_type_symbol
_atom_site_fract_x
_atom_site_fract_y
_atom_site_fract_z
_atom_site_occupancy
Al1 Al 0.1250 0.1250 0.1250 1
Al2 Al 0.8750 0.8750 0.8750 1
Hg1 Hg 0.3750 0.3750 0.3750 1
Hg2 Hg 0.6250 0.6250 0.6250 1

***

- Which of these has the highest magnetic moment?
  YRe3O

***

- Look up the N(E_F) of the fourth one.
  0.00 states/eV per cell